(1)
Below is a geometry-optimized LaEuTlRh structure, with properties calculated at the GGA-PBE level.

Properties
Density of states at the Fermi level (states/eV/atom): 2.216
E (eV/atom): -6.596
DFT formation energy (eV/atom): -0.366
Crystal system: cubic

a b c (Å): 5.324 5.324 5.324
angles (deg): 60.00 60.00 60.00
Last column: magnetic moment on the atom in μB.
Element x y z (fractional)
Eu (0.750, 0.750, 0.750)  6.79
Tl (0.000, 0.000, 0.000)  0.01
Rh (0.500, 0.500, 0.500)  -0.09
La (0.250, 0.250, 0.250)  0.01

=====

(2)
Below is a geometry-optimized La8Nd2Tm3 structure, with properties calculated at the GGA-PBE level.

Properties
Density of states at the Fermi level (states/eV/atom): 1.288
E (eV/atom): -4.627
DFT formation energy (eV/atom): 0.170
Polymorph energy (0 for the lowest one) (kJ/mol of formula units): 28
Crystal system: monoclinic

a b c (Å): 5.798 7.752 11.109
angles (deg): 110.42 90.02 90.00
Element x y z (fractional)
La (0.001, 0.673, 0.346)
La (0.999, 0.327, 0.654)
La (0.999, 0.129, 0.258)
La (0.001, 0.871, 0.742)
La (0.500, 0.596, 0.795)
La (0.500, 0.199, 0.795)
La (0.500, 0.801, 0.205)
La (0.500, 0.404, 0.205)
Nd (0.499, 0.240, 0.480)
Nd (0.501, 0.760, 0.520)
Tm (0.500, 0.000, 0.000)
Tm (0.000, 0.283, 0.000)
Tm (0.000, 0.717, 0.000)

=====

(3)
Below is a geometry-optimized AcHg3Pd3 structure, with properties calculated at the GGA-PBE level.

Properties
Density of states at the Fermi level (states/eV/atom): 0.455
E (eV/atom): -3.331
DFT formation energy (eV/atom): -0.389
Polymorph energy (0 for the lowest one) (kJ/mol of formula units): 0
Crystal system: hexagonal

a b c (Å): 4.519 9.055 9.056
angles (deg): 120.00 90.00 90.00
Element x y z (fractional)
Ac (0.750, 0.333, 0.667)
Ac (0.250, 0.667, 0.333)
Hg (0.750, 0.770, 0.038)
Hg (0.750, 0.269, 0.230)
Hg (0.750, 0.962, 0.731)
Hg (0.250, 0.230, 0.962)
Hg (0.250, 0.731, 0.770)
Hg (0.250, 0.038, 0.269)
Pd (0.750, 0.945, 0.396)
Pd (0.750, 0.450, 0.055)
Pd (0.750, 0.604, 0.550)
Pd (0.250, 0.055, 0.604)
Pd (0.250, 0.550, 0.945)
Pd (0.250, 0.396, 0.450)

=====

(4)
Below is a geometry-optimized Cs2UAs2Se6 structure, with properties calculated at the GGA-PBE level.

Properties
Density of states at the Fermi level (states/eV/atom): 0.017
E (eV/atom): -4.681
Crystal system: monoclinic

a b c (Å): 7.394 9.564 7.360
angles (deg): 118.16 90.00 112.74
Last column: magnetic moment on the atom in μB.
Element x y z (fractional)
Cs (0.759, 0.517, 0.241)  0.00
Cs (0.241, 0.483, 0.759)  0.00
U (0.500, 0.000, 0.500)  0.18
As (0.970, 0.941, 0.804)  0.00
As (0.030, 0.059, 0.196)  0.00
Se (0.660, 0.320, 0.579)  -0.01
Se (0.171, 0.864, 0.179)  -0.01
Se (0.307, 0.136, 0.821)  -0.01
Se (0.829, 0.136, 0.821)  -0.01
Se (0.693, 0.864, 0.179)  -0.01
Se (0.340, 0.680, 0.421)  -0.01

=====

(5)
Below is a geometry-optimized PrCd6Ag12 structure, with properties calculated at the GGA-PBE level.

Properties
Density of states at the Fermi level (states/eV/atom): 0.341
E (eV/atom): -2.293
DFT formation energy (eV/atom): 0.048
Crystal system: trigonal

a b c (Å): 7.734 7.734 7.734
angles (deg): 104.00 104.00 104.00
Element x y z (fractional)
Pr (0.000, 0.000, 0.000)
Cd (0.697, 0.294, 0.294)
Cd (0.294, 0.294, 0.697)
Cd (0.294, 0.697, 0.294)
Cd (0.706, 0.706, 0.303)
Cd (0.303, 0.706, 0.706)
Cd (0.706, 0.303, 0.706)
Ag (0.889, 0.111, 0.500)
Ag (0.888, 0.643, 0.643)
Ag (0.643, 0.643, 0.888)
Ag (0.357, 0.112, 0.357)
Ag (0.357, 0.357, 0.112)
Ag (0.112, 0.357, 0.357)
Ag (0.111, 0.500, 0.889)
Ag (0.500, 0.889, 0.111)
Ag (0.111, 0.889, 0.500)
Ag (0.889, 0.500, 0.111)
Ag (0.500, 0.111, 0.889)
Ag (0.643, 0.888, 0.643)

=====

(6)
Below is a geometry-optimized Pu3BeSe6 structure, with properties calculated at the GGA-PBE level.

Properties
Density of states at the Fermi level (states/eV/atom): 2.733
E (eV/atom): -8.002
Crystal system: orthorhombic

a b c (Å): 6.646 8.838 8.838
angles (deg): 101.76 90.00 90.00
Last column: magnetic moment on the atom in μB.
Element x y z (fractional)
Pu (0.479, 0.924, 0.719)  4.98
Pu (0.979, 0.719, 0.924)  4.98
Pu (0.398, 0.390, 0.610)  4.93
Pu (0.898, 0.610, 0.390)  4.93
Pu (0.979, 0.076, 0.281)  4.98
Pu (0.479, 0.281, 0.076)  4.98
Be (0.034, 0.198, 0.802)  0.00
Be (0.534, 0.802, 0.198)  0.00
Se (0.190, 0.689, 0.633)  -0.19
Se (0.690, 0.633, 0.689)  -0.19
Se (0.183, 0.425, 0.901)  -0.14
Se (0.683, 0.901, 0.425)  -0.14
Se (0.160, 0.043, 0.957)  -0.13
Se (0.692, 0.218, 0.782)  -0.14
Se (0.192, 0.782, 0.218)  -0.14
Se (0.660, 0.957, 0.043)  -0.13
Se (0.183, 0.099, 0.575)  -0.14
Se (0.683, 0.575, 0.099)  -0.14
Se (0.190, 0.367, 0.311)  -0.19
Se (0.690, 0.311, 0.367)  -0.19

=====

> The highest E belongs to which entry?

PrCd6Ag12